1.
# SCAN La2CdCo, PBEsol geometry
data_La2CdCo
_symmetry_space_group_name_H-M 'P 1'
_symmetry_Int_Tables_number 1
_cell_length_a 4.0496
_cell_length_b 5.5648
_cell_length_c 5.5648
_cell_angle_alpha 60.02
_cell_angle_beta 68.66
_cell_angle_gamma 68.66
loop_
_symmetry_equiv_pos_as_xyz
'x,y,z'
loop_
_atom_site_label
_atom_site_type_symbol
_atom_site_fract_x
_atom_site_fract_y
_atom_site_fract_z
Cd1 Cd 0.5000 0.0000 0.0000
Co1 Co 0.0000 0.5000 0.5000
La1 La 0.3012 0.6988 0.6988
La2 La 0.6988 0.3012 0.3012
# Formation enthalpy at 0 K   0.040 eV per formula unit
# DFT total energy   -1.230 hartree per atom
# Magnetic moment   0.00 μB/cell
# V   98.6 Å³/cell
# Crystal system   orthorhombic

***

2.
# SCAN KCdF3, PBEsol geometry
data_KCdF3
_symmetry_space_group_name_H-M 'P 1'
_symmetry_Int_Tables_number 1
_cell_length_a 6.0554
_cell_length_b 6.1909
_cell_length_c 8.6245
_cell_angle_alpha 90.00
_cell_angle_beta 90.00
_cell_angle_gamma 90.00
loop_
_symmetry_equiv_pos_as_xyz
'x,y,z'
loop_
_atom_site_label
_atom_site_type_symbol
_atom_site_fract_x
_atom_site_fract_y
_atom_site_fract_z
K1 K 0.9883 0.0460 0.2500
K2 K 0.5117 0.5460 0.2500
K3 K 0.4883 0.4540 0.7500
K4 K 0.0117 0.9540 0.7500
Cd1 Cd 0.5000 0.0000 0.0000
Cd2 Cd 0.0000 0.5000 0.5000
Cd3 Cd 0.0000 0.5000 0.0000
Cd4 Cd 0.5000 0.0000 0.5000
F1 F 0.7055 0.2923 0.4553
F2 F 0.7945 0.7923 0.0447
F3 F 0.2055 0.2077 0.5447
F4 F 0.2945 0.7077 0.9553
F5 F 0.2945 0.7077 0.5447
F6 F 0.2055 0.2077 0.9553
F7 F 0.7945 0.7923 0.4553
F8 F 0.7055 0.2923 0.0447
F9 F 0.0845 0.4717 0.2500
F10 F 0.4155 0.9717 0.2500
F11 F 0.5845 0.0283 0.7500
F12 F 0.9155 0.5283 0.7500
# DFT total energy   -0.460 hartree per atom
# Magnetic moment   0.00 μB/cell
# V   323.3 Å³/cell
# Formation energy (no corrections)   -2.6408 eV/atom
# Crystal system   orthorhombic

***

3.
# SCAN LiSc2IrPb, PBEsol geometry
data_LiSc2IrPb
_symmetry_space_group_name_H-M 'P 1'
_symmetry_Int_Tables_number 1
_cell_length_a 4.6516
_cell_length_b 4.9531
_cell_length_c 4.9531
_cell_angle_alpha 90.00
_cell_angle_beta 90.00
_cell_angle_gamma 90.00
loop_
_symmetry_equiv_pos_as_xyz
'x,y,z'
loop_
_atom_site_label
_atom_site_type_symbol
_atom_site_fract_x
_atom_site_fract_y
_atom_site_fract_z
Pb1 Pb 0.5000 0.5000 0.5000
Sc1 Sc 0.0000 0.0000 0.5000
Sc2 Sc 0.0000 0.5000 0.0000
Ir1 Ir 0.0000 0.0000 0.0000
Li1 Li 0.5000 0.0000 0.0000
# Formation enthalpy at 0 K   -1.999 eV per formula unit
# DFT total energy   -1.321 hartree per atom
# Magnetic moment   0.00 μB/cell
# V   114.1 Å³/cell
# Crystal system   tetragonal

***

4.
# SCAN Ti2BeRhC, PBEsol geometry
data_Ti2BeRhC
_symmetry_space_group_name_H-M 'P 1'
_symmetry_Int_Tables_number 1
_cell_length_a 3.0754
_cell_length_b 4.4398
_cell_length_c 4.4398
_cell_angle_alpha 90.00
_cell_angle_beta 90.00
_cell_angle_gamma 90.00
loop_
_symmetry_equiv_pos_as_xyz
'x,y,z'
loop_
_atom_site_label
_atom_site_type_symbol
_atom_site_fract_x
_atom_site_fract_y
_atom_site_fract_z
Be1 Be 0.0000 0.0000 0.0000
C1 C 0.5000 0.0000 0.0000
Rh1 Rh 0.5000 0.5000 0.5000
Ti1 Ti 0.0000 0.0000 0.5000
Ti2 Ti 0.0000 0.5000 0.0000
# Formation enthalpy at 0 K   1.264 eV per formula unit
# DFT total energy   -0.581 hartree per atom
# Magnetic moment   0.00 μB/cell
# V   60.6 Å³/cell
# Crystal system   tetragonal

***

5.
# SCAN In2FeCoPt, PBEsol geometry
data_In2FeCoPt
_symmetry_space_group_name_H-M 'P 1'
_symmetry_Int_Tables_number 1
_cell_length_a 4.5631
_cell_length_b 4.6949
_cell_length_c 4.6949
_cell_angle_alpha 90.00
_cell_angle_beta 90.00
_cell_angle_gamma 90.00
loop_
_symmetry_equiv_pos_as_xyz
'x,y,z'
loop_
_atom_site_label
_atom_site_type_symbol
_atom_site_fract_x
_atom_site_fract_y
_atom_site_fract_z
Co1 Co 0.0000 0.0000 0.0000
Fe1 Fe 0.5000 0.5000 0.5000
Pt1 Pt 0.5000 0.0000 0.0000
In1 In 0.0000 0.0000 0.5000
In2 In 0.0000 0.5000 0.0000
# Formation enthalpy at 0 K   3.615 eV per formula unit
# DFT total energy   -1.241 hartree per atom
# Magnetic moment   5.01 μB/cell
# V   100.6 Å³/cell
# Crystal system   tetragonal

***

6.
# SCAN ErTaO3, PBEsol geometry
data_ErTaO3
_symmetry_space_group_name_H-M 'P 1'
_symmetry_Int_Tables_number 1
_cell_length_a 3.9793
_cell_length_b 3.9793
_cell_length_c 3.9793
_cell_angle_alpha 90.00
_cell_angle_beta 90.00
_cell_angle_gamma 90.00
loop_
_symmetry_equiv_pos_as_xyz
'x,y,z'
loop_
_atom_site_label
_atom_site_type_symbol
_atom_site_fract_x
_atom_site_fract_y
_atom_site_fract_z
Er1 Er 0.0000 0.0000 0.0000
Ta1 Ta 0.5000 0.5000 0.5000
O1 O 0.5000 0.5000 0.0000
O2 O 0.5000 0.0000 0.5000
O3 O 0.0000 0.5000 0.5000
# DFT total energy   -1.090 hartree per atom
# Magnetic moment   0.00 μB/cell
# V   63.0 Å³/cell
# Formation energy (no corrections)   -2.5485 eV/atom
# Crystal system   cubic